[1]
VASP calculation (GGA-PBEsol) on a relaxed AlInI2 crystal.

Values from the calculation:
energy = -2.604 eV/atom
calculated volume = 845 Å³ per cell
energy relative to the elements, uncorrected = 0.0484 eV per atom
spin magnetization = 0.0 μB/f.u.

abc: 7.5588 7.5588 14.7953
angles: 90.00 90.00 90.00
Last column: nearest neighbours and their distance in Å.
Space group I-42d (No. 122)
Unique sites:
Al 0.0000 0.0000 0.0000 (multiplicity 4)  4 I 3.16
In 0.0000 0.0000 0.5000 (multiplicity 4)  4 I 3.34
I 0.2295 0.2500 0.1250 (multiplicity 8)  2 Al 3.16, 2 In 3.34

***

[2]
VASP calculation (GGA-PBEsol) on a relaxed AlInMoI2 crystal.

Values from the calculation:
energy = -3.419 eV/atom
calculated volume = 165 Å³ per cell
energy relative to the elements, uncorrected = 1.0558 eV per atom
spin magnetization = 5.5 μB/f.u.
density of states at the Fermi level = 2.6 states/eV/f.u.

abc: 5.6108 5.6108 5.2283
angles: 90.00 90.00 90.00
Last column: nearest neighbours and their distance in Å.
Space group P4/mmm (No. 123)
Unique sites:
Al 0.0000 0.0000 0.0000 (multiplicity 1)  2 In 2.61, 4 I 2.81
In 0.0000 0.0000 0.5000 (multiplicity 1)  2 Al 2.61
Mo 0.5000 0.5000 0.5000 (multiplicity 1)  8 I 3.83, 4 In 3.97
I 0.0000 0.5000 0.0000 (multiplicity 2)  2 Al 2.81

***

[3]
VASP calculation (GGA-PBEsol) on a relaxed Al2InTeI crystal.

Values from the calculation:
energy = -2.786 eV/atom
calculated volume = 165 Å³ per cell
energy relative to the elements, uncorrected = 0.5056 eV per atom
spin magnetization = 0.0 μB/f.u.
density of states at the Fermi level = 3.0 states/eV/f.u.

abc: 5.5090 5.5090 5.4373
angles: 90.00 90.00 90.00
Last column: nearest neighbours and their distance in Å.
Space group P4/mmm (No. 123)
Unique sites:
Al 0.0000 0.5000 0.0000 (multiplicity 2)  2 In 2.75
In 0.0000 0.0000 0.0000 (multiplicity 1)  2 Te 2.72, 4 Al 2.75
Te 0.0000 0.0000 0.5000 (multiplicity 1)  2 In 2.72
I 0.5000 0.5000 0.5000 (multiplicity 1)  8 Al 3.87, 4 Te 3.90

***

[4]
VASP calculation (GGA-PBEsol) on a relaxed Al2IrI crystal.

Values from the calculation:
energy = -4.772 eV/atom
calculated volume = 425 Å³ per cell
energy relative to the elements, uncorrected = 0.1709 eV per atom
spin magnetization = 0.0 μB/f.u.
density of states at the Fermi level = 0.9 states/eV/f.u.

abc: 5.5558 5.5558 13.7832
angles: 90.00 90.00 90.00
Last column: nearest neighbours and their distance in Å.
Space group I-42d (No. 122)
Unique sites:
Al 0.1398 0.2500 0.1250 (multiplicity 8)  2 Ir 2.35
Ir 0.0000 0.0000 0.0000 (multiplicity 4)  4 Al 2.35
I 0.0000 0.0000 0.5000 (multiplicity 4)  4 Al 2.98

***

[5]
VASP calculation (GGA-PBEsol) on a relaxed AlSnIrI2 crystal.

Values from the calculation:
energy = -3.982 eV/atom
calculated volume = 139 Å³ per cell
energy relative to the elements, uncorrected = 0.3592 eV per atom
spin magnetization = 0.0 μB/f.u.
density of states at the Fermi level = 4.1 states/eV/f.u.

abc: 5.4544 5.4544 4.6794
angles: 90.00 90.00 90.00
Last column: nearest neighbours and their distance in Å.
Space group P4/mmm (No. 123)
Unique sites:
Al 0.0000 0.0000 0.0000 (multiplicity 1)  2 Ir 2.34
Sn 0.5000 0.5000 0.0000 (multiplicity 1)  8 I 3.59, 4 Al 3.86
Ir 0.0000 0.0000 0.5000 (multiplicity 1)  2 Al 2.34
I 0.0000 0.5000 0.5000 (multiplicity 2)  2 Ir 2.73

***

[6]
VASP calculation (GGA-PBEsol) on a relaxed KAlIN2 crystal.

Values from the calculation:
energy = -4.317 eV/atom
calculated volume = 98 Å³ per cell
energy relative to the elements, uncorrected = 0.4918 eV per atom
spin magnetization = 2.9 μB/f.u.
density of states at the Fermi level = 2.2 states/eV/f.u.

abc: 4.1525 4.1525 5.6563
angles: 90.00 90.00 90.00
Last column: nearest neighbours and their distance in Å.
Space group P4/mmm (No. 123)
Unique sites:
K 0.0000 0.0000 0.0000 (multiplicity 1)  4 I 2.94
Al 0.5000 0.5000 0.5000 (multiplicity 1)  4 N 2.08
I 0.5000 0.5000 0.0000 (multiplicity 1)  2 Al 2.83, 4 K 2.94
N 0.0000 0.5000 0.5000 (multiplicity 2)  2 Al 2.08

***

[7]
VASP calculation (GGA-PBEsol) on a relaxed KTa2AlI crystal.

Values from the calculation:
energy = -3.626 eV/atom
calculated volume = 127 Å³ per cell
energy relative to the elements, uncorrected = 2.7927 eV per atom
spin magnetization = 1.3 μB/f.u.
density of states at the Fermi level = 7.2 states/eV/f.u.

abc: 4.7996 4.7996 5.5213
angles: 90.00 90.00 90.00
Last column: nearest neighbours and their distance in Å.
Space group P4/mmm (No. 123)
Unique sites:
K 0.0000 0.0000 0.0000 (multiplicity 1)  4 Ta 2.40
Ta 0.0000 0.5000 0.0000 (multiplicity 2)  2 K 2.40
Al 0.5000 0.5000 0.5000 (multiplicity 1)  4 I 3.39, 8 Ta 3.66
I 0.0000 0.0000 0.5000 (multiplicity 1)  2 K 2.76

***

[8]
VASP calculation (GGA-PBEsol) on a relaxed LaAlSb2I crystal.

Values from the calculation:
energy = -3.713 eV/atom
calculated volume = 218 Å³ per cell
energy relative to the elements, uncorrected = 0.3507 eV per atom
spin magnetization = 0.0 μB/f.u.
density of states at the Fermi level = 5.5 states/eV/f.u.

abc: 5.9904 5.9904 6.0872
angles: 90.00 90.00 90.00
Last column: nearest neighbours and their distance in Å.
Space group P4/mmm (No. 123)
Unique sites:
La 0.0000 0.0000 0.0000 (multiplicity 1)  4 Sb 3.00, 2 I 3.04
Al 0.5000 0.5000 0.5000 (multiplicity 1)  4 I 4.24, 8 Sb 4.27
Sb 0.0000 0.5000 0.0000 (multiplicity 2)  2 La 3.00
I 0.0000 0.0000 0.5000 (multiplicity 1)  2 La 3.04

***

[9]
VASP calculation (GGA-PBEsol) on a relaxed LiAlZn2I crystal.

Values from the calculation:
energy = -2.020 eV/atom
calculated volume = 130 Å³ per cell
energy relative to the elements, uncorrected = 0.1783 eV per atom
spin magnetization = 0.7 μB/f.u.
density of states at the Fermi level = 2.0 states/eV/f.u.

abc: 4.7943 4.7943 5.6408
angles: 90.00 90.00 90.00
Last column: nearest neighbours and their distance in Å.
Space group P4/mmm (No. 123)
Unique sites:
Li 0.0000 0.0000 0.0000 (multiplicity 1)  2 Al 2.82
Al 0.0000 0.0000 0.5000 (multiplicity 1)  4 Zn 2.40
Zn 0.0000 0.5000 0.5000 (multiplicity 2)  2 Al 2.40
I 0.5000 0.5000 0.0000 (multiplicity 1)  4 Li 3.39, 8 Zn 3.70

***

[10]
VASP calculation (GGA-PBEsol) on a relaxed MnAlIO2 crystal.

Values from the calculation:
energy = -6.018 eV/atom
calculated volume = 79 Å³ per cell
energy relative to the elements, uncorrected = -0.7945 eV per atom
spin magnetization = 4.7 μB/f.u.
density of states at the Fermi level = 2.3 states/eV/f.u.

abc: 3.7099 3.7099 5.7133
angles: 90.00 90.00 90.00
Last column: nearest neighbours and their distance in Å.
Space group P4/mmm (No. 123)
Unique sites:
Mn 0.0000 0.0000 0.0000 (multiplicity 1)  4 I 2.62
Al 0.5000 0.5000 0.5000 (multiplicity 1)  4 O 1.85
I 0.5000 0.5000 0.0000 (multiplicity 1)  4 Mn 2.62, 2 Al 2.86
O 0.0000 0.5000 0.5000 (multiplicity 2)  2 Al 1.85

***

[11]
VASP calculation (GGA-PBEsol) on a relaxed AlMoIN2 crystal.

Values from the calculation:
energy = -6.343 eV/atom
calculated volume = 88 Å³ per cell
energy relative to the elements, uncorrected = 0.5924 eV per atom
spin magnetization = 0.0 μB/f.u.
density of states at the Fermi level = 3.5 states/eV/f.u.

abc: 3.9702 3.9702 5.5538
angles: 90.00 90.00 90.00
Last column: nearest neighbours and their distance in Å.
Space group P4/mmm (No. 123)
Unique sites:
Al 0.0000 0.0000 0.0000 (multiplicity 1)  4 I 2.81
Mo 0.5000 0.5000 0.5000 (multiplicity 1)  4 N 1.99
I 0.5000 0.5000 0.0000 (multiplicity 1)  2 Mo 2.78, 4 Al 2.81
N 0.0000 0.5000 0.5000 (multiplicity 2)  2 Mo 1.99

***

[12]
VASP calculation (GGA-PBEsol) on a relaxed AlI2N2 crystal.

Values from the calculation:
energy = -3.839 eV/atom
calculated volume = 101 Å³ per cell
energy relative to the elements, uncorrected = 1.0969 eV per atom
spin magnetization = 3.0 μB/f.u.
ΔE to the lowest computed polymorph = 0 meV per atom
density of states at the Fermi level = 2.3 states/eV/f.u.

abc: 4.1334 4.1334 5.9201
angles: 90.00 90.00 90.00
Last column: nearest neighbours and their distance in Å.
Space group P4/mmm (No. 123)
Unique sites:
Al 0.0000 0.0000 0.0000 (multiplicity 1)  4 N 2.07
I 0.0000 0.0000 0.5000 (multiplicity 1)  4 I 2.92, 2 Al 2.96
I 0.5000 0.5000 0.5000 (multiplicity 1)  4 I 2.92
N 0.0000 0.5000 0.0000 (multiplicity 2)  2 Al 2.07

***

[13]
VASP calculation (GGA-PBEsol) on a relaxed AlI2N2 crystal.

Values from the calculation:
energy = -3.798 eV/atom
calculated volume = 119 Å³ per cell
energy relative to the elements, uncorrected = 1.1374 eV per atom
spin magnetization = 3.0 μB/f.u.
ΔE to the lowest computed polymorph = 40 meV per atom
density of states at the Fermi level = 3.0 states/eV/f.u.

abc: 5.9084 5.9084 3.4117
angles: 90.00 90.00 90.00
Last column: nearest neighbours and their distance in Å.
Space group P4/mmm (No. 123)
Unique sites:
Al 0.0000 0.0000 0.0000 (multiplicity 1)  2 N 1.71
I 0.0000 0.5000 0.0000 (multiplicity 2)  2 Al 2.95
N 0.0000 0.0000 0.5000 (multiplicity 1)  2 Al 1.71
N 0.5000 0.5000 0.5000 (multiplicity 1)  8 I 3.41, 2 N 3.41

***

[14]
VASP calculation (GGA-PBEsol) on a relaxed Al2IN crystal.

Values from the calculation:
energy = -3.543 eV/atom
calculated volume = 268 Å³ per cell
energy relative to the elements, uncorrected = 1.0759 eV per atom
spin magnetization = 0.0 μB/f.u.
density of states at the Fermi level = 1.3 states/eV/f.u.

abc: 6.4461 6.4461 6.4461
angles: 90.00 90.00 90.00
Last column: nearest neighbours and their distance in Å.
Space group Fm-3m (No. 225)
Unique sites:
Al 0.2500 0.2500 0.2500 (multiplicity 8)  4 I 2.79, 4 N 2.79
I 0.0000 0.0000 0.0000 (multiplicity 4)  8 Al 2.79
N 0.0000 0.0000 0.5000 (multiplicity 4)  8 Al 2.79

***

[15]
VASP calculation (GGA-PBEsol) on a relaxed NaAlI2N crystal.

Values from the calculation:
energy = -2.776 eV/atom
calculated volume = 156 Å³ per cell
energy relative to the elements, uncorrected = 0.7340 eV per atom
spin magnetization = 3.0 μB/f.u.
density of states at the Fermi level = 1.3 states/eV/f.u.

abc: 5.8668 5.8668 4.5315
angles: 90.00 90.00 90.00
Last column: nearest neighbours and their distance in Å.
Space group P4/mmm (No. 123)
Unique sites:
Na 0.0000 0.0000 0.0000 (multiplicity 1)  2 N 2.27
Al 0.5000 0.5000 0.5000 (multiplicity 1)  8 I 3.71, 4 N 4.15
I 0.0000 0.5000 0.0000 (multiplicity 2)  2 Na 2.93
N 0.0000 0.0000 0.5000 (multiplicity 1)  2 Na 2.27

***

[16]
VASP calculation (GGA-PBEsol) on a relaxed NaAlIN2 crystal.

Values from the calculation:
energy = -3.126 eV/atom
calculated volume = 124 Å³ per cell
energy relative to the elements, uncorrected = 1.7365 eV per atom
spin magnetization = 4.9 μB/f.u.
density of states at the Fermi level = 2.4 states/eV/f.u.

abc: 4.5999 4.5999 5.8738
angles: 90.00 90.00 90.00
Last column: nearest neighbours and their distance in Å.
Space group P4/mmm (No. 123)
Unique sites:
Na 0.0000 0.0000 0.0000 (multiplicity 1)  4 N 2.30
Al 0.5000 0.5000 0.5000 (multiplicity 1)  4 I 3.25
I 0.0000 0.0000 0.5000 (multiplicity 1)  2 Na 2.94, 4 Al 3.25
N 0.0000 0.5000 0.0000 (multiplicity 2)  2 Na 2.30

***

[17]
VASP calculation (GGA-PBEsol) on a relaxed AlNiI2N crystal.

Values from the calculation:
energy = -3.894 eV/atom
calculated volume = 107 Å³ per cell
energy relative to the elements, uncorrected = 0.5676 eV per atom
spin magnetization = 1.2 μB/f.u.
ΔE to the lowest computed polymorph = 100 meV per atom
density of states at the Fermi level = 5.6 states/eV/f.u.

abc: 5.5343 5.5343 3.4790
angles: 90.00 90.00 90.00
Last column: nearest neighbours and their distance in Å.
Space group P4/mmm (No. 123)
Unique sites:
Al 0.0000 0.0000 0.0000 (multiplicity 1)  2 N 1.74
Ni 0.5000 0.5000 0.5000 (multiplicity 1)  8 I 3.27, 2 Ni 3.48
I 0.0000 0.5000 0.0000 (multiplicity 2)  2 Al 2.77
N 0.0000 0.0000 0.5000 (multiplicity 1)  2 Al 1.74

***

[18]
VASP calculation (GGA-PBEsol) on a relaxed AlNiI2N crystal.

Values from the calculation:
energy = -3.995 eV/atom
calculated volume = 105 Å³ per cell
energy relative to the elements, uncorrected = 0.4671 eV per atom
spin magnetization = 0.9 μB/f.u.
ΔE to the lowest computed polymorph = 0 meV per atom
density of states at the Fermi level = 3.8 states/eV/f.u.

abc: 5.4523 5.4523 3.5314
angles: 90.00 90.00 90.00
Last column: nearest neighbours and their distance in Å.
Space group P4/mmm (No. 123)
Unique sites:
Al 0.0000 0.0000 0.0000 (multiplicity 1)  8 I 3.25, 2 Al 3.53
Ni 0.5000 0.5000 0.5000 (multiplicity 1)  2 N 1.77
I 0.0000 0.5000 0.5000 (multiplicity 2)  2 Ni 2.73
N 0.5000 0.5000 0.0000 (multiplicity 1)  2 Ni 1.77

***

[19]
VASP calculation (GGA-PBEsol) on a relaxed AlINO2 crystal.

Values from the calculation:
energy = -4.423 eV/atom
calculated volume = 69 Å³ per cell
energy relative to the elements, uncorrected = 0.5540 eV per atom
spin magnetization = 0.0 μB/f.u.
density of states at the Fermi level = 2.1 states/eV/f.u.

abc: 4.0276 4.0276 4.2793
angles: 90.00 90.00 90.00
Last column: nearest neighbours and their distance in Å.
Space group P4/mmm (No. 123)
Unique sites:
Al 0.0000 0.0000 0.0000 (multiplicity 1)  4 N 2.85, 8 O 2.94
I 0.5000 0.5000 0.5000 (multiplicity 1)  4 O 2.01, 2 N 2.14
N 0.5000 0.5000 0.0000 (multiplicity 1)  2 I 2.14
O 0.0000 0.5000 0.5000 (multiplicity 2)  2 I 2.01

***

[20]
VASP calculation (GGA-PBEsol) on a relaxed AlI2NO crystal.

Values from the calculation:
energy = -4.121 eV/atom
calculated volume = 116 Å³ per cell
energy relative to the elements, uncorrected = 0.1591 eV per atom
spin magnetization = 2.9 μB/f.u.
density of states at the Fermi level = 1.0 states/eV/f.u.

abc: 5.9077 5.9077 3.3251
angles: 90.00 90.00 90.00
Last column: nearest neighbours and their distance in Å.
Space group P4/mmm (No. 123)
Unique sites:
Al 0.0000 0.0000 0.0000 (multiplicity 1)  2 O 1.66
I 0.0000 0.5000 0.0000 (multiplicity 2)  2 Al 2.95
N 0.5000 0.5000 0.5000 (multiplicity 1)  2 N 3.33, 8 I 3.39
O 0.0000 0.0000 0.5000 (multiplicity 1)  2 Al 1.66